! Mn2PBr PBE-GGA relaxed; values from VASP
! Space group: P4/mmm
! Raw formation energy (kcal/mol of atoms): 12.61
! Raw total energy (eV per cell): -23.234
! Total magnetization (μB/f.u.): 0.001
! Theoretical density (kg/m³): 7270
&SYSTEM
  ibrav = 0, nat = 4, ntyp = 3
/
ATOMIC_SPECIES
Mn 54.94 Mn.upf
P 30.97 P.upf
Br 79.90 Br.upf
CELL_PARAMETERS angstrom
4.1643 0.0000 0.0000
0.0000 4.1643 0.0000
0.0000 0.0000 2.9078
ATOMIC_POSITIONS crystal
Mn 0.0000 0.5000 0.0000
Mn 0.5000 0.0000 0.0000
P 0.0000 0.0000 0.5000
Br 0.5000 0.5000 0.5000